## GaPbI2O (PBE-GGA)

Data for a relaxed structure of GaPbI2O.

```
GaPbI2O
1.0
6.080 0.000 0.000
0.000 6.080 0.000
0.000 0.000 3.786
O Ga I Pb
1 1 2 1
Direct
0.000 0.000 0.500 O
0.000 0.000 0.000 Ga
0.000 0.500 0.000 I
0.500 0.000 0.000 I
0.500 0.500 0.500 Pb
```

E above lowest polymorph   0 meV per atom
E_form (uncorrected)   -492.3 meV/atom


## K2SiBO4 (PBE-GGA)

Data for a relaxed structure of K2SiBO4.

```
K2SiBO4
1.0
-1.920 1.696 -3.503
2.740 -1.447 -4.891
-9.439 -11.199 -2.937
K O B Si
4 8 2 2
Direct
0.568 0.500 0.863 K
0.818 0.000 0.363 K
0.932 0.500 0.137 K
0.182 0.000 0.637 K
0.327 0.842 0.053 O
0.919 0.658 0.553 O
0.831 0.842 0.947 O
0.620 0.158 0.053 O
0.528 0.342 0.553 O
0.423 0.658 0.447 O
0.222 0.158 0.947 O
0.130 0.342 0.447 O
0.250 0.500 0.500 B
0.500 0.000 0.000 B
0.750 0.500 0.500 Si
0.000 0.000 0.000 Si
```

E_form (uncorrected)   -1984.6 meV/atom


## AcGdGaCo (PBE-GGA)

Data for a relaxed structure of AcGdGaCo.

```
AcGdGaCo
1.0
-4.609 0.002 2.407
-0.989 -3.490 3.725
-0.341 1.518 4.961
Co Gd Ac Ga
1 1 1 1
Direct
0.250 0.250 0.250 Co
0.500 0.500 0.500 Gd
0.000 0.000 0.000 Ac
0.750 0.750 0.750 Ga
```

DFT total energy   -7.221 eV per atom